Entry 1:
The following is a PBE calculation of a relaxed structure of CsTl4In2Hg, from Alexandria.

* volume: 278.5 Å³/cell
* calculated total energy: -2.059 eV per atom
* space-group type: No. 166
* ΔH_f (0 K): -46 meV/atom

a = 5.4541 Å, b = 5.4541 Å, c = 11.2599 Å
α = 75.98°, β = 75.98°, γ = 60.00°
Closest atoms and distances in Å follow each position.
Element x y z (fractional)
1 Cs 0.0000 0.0000 0.0000  8 Tl 3.93-4.33
2 Tl 0.4060 0.4060 0.7819  1 Hg 3.05, 3 In 3.25
3 Tl 0.8664 0.8664 0.4007  4 In 3.32-3.36, 3 Hg 3.33
4 Tl 0.1336 0.1336 0.5993  4 In 3.32-3.36, 3 Hg 3.33
5 Tl 0.5940 0.5940 0.2181  1 Hg 3.05, 3 In 3.25
6 In 0.7642 0.7642 0.7075  7 Tl 3.25-3.36
7 In 0.2358 0.2358 0.2925  7 Tl 3.25-3.36
8 Hg 0.5000 0.5000 0.5000  8 Tl 3.05-3.33

=====

Entry 2:
The following is a PBE calculation of a relaxed structure of Cs2TlInHg, from Alexandria.

* volume: 317.2 Å³/cell
* relative energy among the computed polymorphs: 0 meV/atom
* calculated total energy: -1.381 eV per atom
* space-group type: No. 123
* ΔH_f (0 K): 42 meV/atom

a = 7.5886 Å, b = 7.5886 Å, c = 5.5090 Å
α = 90.00°, β = 90.00°, γ = 90.00°
Closest atoms and distances in Å follow each position.
Element x y z (fractional)
1 Cs 0.0000 0.5000 0.0000  2 Tl 3.79
2 Cs 0.5000 0.0000 0.0000  2 Tl 3.79
3 Tl 0.0000 0.0000 0.0000  2 In 2.75
4 Hg 0.5000 0.5000 0.5000  8 Cs 4.69
5 In 0.0000 0.0000 0.5000  2 Tl 2.75

=====

Entry 3:
The following is a PBE calculation of a relaxed structure of CsTlIn2Hg8, from Alexandria.

* volume: 386.6 Å³/cell
* calculated total energy: -0.959 eV per atom
* space-group type: No. 12
* ΔH_f (0 K): -33 meV/atom

a = 6.0537 Å, b = 6.0537 Å, c = 11.5916 Å
α = 98.62°, β = 98.62°, γ = 67.70°
Closest atoms and distances in Å follow each position.
Element x y z (fractional)
1 Cs 0.0000 0.0000 0.5000  10 Hg 3.58-3.79
2 Tl 0.0000 0.0000 0.0000  10 Hg 3.44-3.70
3 In 0.6315 0.6315 0.2851  6 Hg 3.14-3.17
4 In 0.3685 0.3685 0.7149  6 Hg 3.14-3.17
5 Hg 0.8839 0.3857 0.7900  5 Hg 3.11-3.38, 2 In 3.14-3.15, 1 Tl 3.44
6 Hg 0.6539 0.6539 0.0180  5 Hg 3.05-3.26, 1 In 3.14
7 Hg 0.6637 0.6637 0.5620  1 In 3.17, 3 Hg 3.19-3.35
8 Hg 0.3363 0.3363 0.4380  1 In 3.17, 3 Hg 3.19-3.35
9 Hg 0.3461 0.3461 0.9820  5 Hg 3.05-3.26, 1 In 3.14
10 Hg 0.3857 0.8839 0.7900  5 Hg 3.11-3.38, 2 In 3.14-3.15, 1 Tl 3.44
11 Hg 0.6143 0.1161 0.2100  5 Hg 3.11-3.38, 2 In 3.14-3.15, 1 Tl 3.44
12 Hg 0.1161 0.6143 0.2100  5 Hg 3.11-3.38, 2 In 3.14-3.15, 1 Tl 3.44

=====

Entry 4:
The following is a PBE calculation of a relaxed structure of Cs2TlIn4Hg3, from Alexandria.

* volume: 342.4 Å³/cell
* calculated total energy: -1.706 eV per atom
* space-group type: No. 115
* ΔH_f (0 K): -113 meV/atom

a = 5.2087 Å, b = 5.2087 Å, c = 12.6209 Å
α = 90.00°, β = 90.00°, γ = 90.00°
Closest atoms and distances in Å follow each position.
Element x y z (fractional)
1 Cs 0.5000 0.0000 0.2502  8 In 3.98-4.09, 6 Hg 3.99-4.09, 2 Tl 4.09
2 Cs 0.0000 0.5000 0.7498  8 In 3.98-4.09, 6 Hg 3.99-4.09, 2 Tl 4.09
3 Tl 0.5000 0.5000 0.5000  4 In 3.08
4 In 0.5000 0.5000 0.0000  4 Hg 3.07
5 In 0.0000 0.0000 0.0000  4 Hg 3.07
6 In 0.5000 0.0000 0.6306  3 Hg 3.04-3.08, 2 Tl 3.08
7 In 0.0000 0.5000 0.3694  3 Hg 3.04-3.08, 2 Tl 3.08
8 Hg 0.0000 0.0000 0.5000  4 In 3.08
9 Hg 0.5000 0.0000 0.8711  5 In 3.04-3.07
10 Hg 0.0000 0.5000 0.1289  5 In 3.04-3.07

=====

Entry 5:
The following is a PBE calculation of a relaxed structure of CsTlIn2Hg2, from Alexandria.

* volume: 212.4 Å³/cell
* calculated total energy: -1.681 eV per atom
* space-group type: No. 164
* ΔH_f (0 K): -131 meV/atom

a = 5.1974 Å, b = 5.1974 Å, c = 9.0803 Å
α = 90.00°, β = 90.00°, γ = 120.00°
Closest atoms and distances in Å follow each position.
Element x y z (fractional)
1 Cs 0.0000 0.0000 0.0000  6 Hg 4.01, 6 In 4.28
2 Tl 0.0000 0.0000 0.5000  6 In 3.35, 6 Hg 3.54
3 In 0.3333 0.6667 0.6636  4 Hg 3.03-3.37, 3 Tl 3.35
4 In 0.6667 0.3333 0.3364  4 Hg 3.03-3.37, 3 Tl 3.35
5 Hg 0.3333 0.6667 0.2922  4 In 3.03-3.37
6 Hg 0.6667 0.3333 0.7078  4 In 3.03-3.37

=====

Entry 6:
The following is a PBE calculation of a relaxed structure of Cs2Tl2InHg, from Alexandria.

* volume: 514.4 Å³/cell
* calculated total energy: -1.691 eV per atom
* space-group type: No. 72
* ΔH_f (0 K): -111 meV/atom

a = 7.6356 Å, b = 7.5234 Å, c = 10.4364 Å
α = 111.13°, β = 111.46°, γ = 90.00°
Closest atoms and distances in Å follow each position.
Element x y z (fractional)
1 Cs 0.4049 0.1666 0.3332  2 Hg 3.97, 5 Tl 3.99-4.31, 2 In 4.05
2 Cs 0.5951 0.8334 0.6668  2 Hg 3.97, 5 Tl 3.99-4.31, 2 In 4.05
3 Cs 0.0717 0.3334 0.6668  2 Hg 3.97, 5 Tl 3.99-4.31, 2 In 4.05
4 Cs 0.9283 0.6666 0.3332  2 Hg 3.97, 5 Tl 3.99-4.31, 2 In 4.05
5 Tl 0.8332 0.0925 0.1850  2 In 3.11, 2 Hg 3.19
6 Tl 0.3518 0.5925 0.1850  2 In 3.11, 2 Hg 3.19
7 Tl 0.6482 0.4075 0.8150  2 In 3.11, 2 Hg 3.19
8 Tl 0.1668 0.9075 0.8150  2 In 3.11, 2 Hg 3.19
9 In 0.5000 0.7500 0.0000  4 Tl 3.11
10 In 0.5000 0.2500 0.0000  4 Tl 3.11
11 Hg 0.0000 0.7500 0.0000  4 Tl 3.19
12 Hg 0.0000 0.2500 0.0000  4 Tl 3.19

=====

Entry 7:
The following is a PBE calculation of a relaxed structure of Cs2Tl3InHg4, from Alexandria.

* volume: 371.9 Å³/cell
* calculated total energy: -1.399 eV per atom
* space-group type: No. 115
* ΔH_f (0 K): -124 meV/atom

a = 5.6318 Å, b = 5.6318 Å, c = 11.7258 Å
α = 90.00°, β = 90.00°, γ = 90.00°
Closest atoms and distances in Å follow each position.
Element x y z (fractional)
1 Cs 0.5000 0.0000 0.2441  9 Hg 4.02-4.39, 7 Tl 4.11-4.26, 2 In 4.11
2 Cs 0.0000 0.5000 0.7559  9 Hg 4.02-4.39, 7 Tl 4.11-4.26, 2 In 4.11
3 Tl 0.0000 0.0000 0.5000  4 Hg 3.14
4 Tl 0.5000 0.0000 0.8855  5 Hg 3.12-3.13
5 Tl 0.0000 0.5000 0.1145  5 Hg 3.12-3.13
6 In 0.5000 0.5000 0.5000  4 Hg 3.14
7 Hg 0.5000 0.5000 0.0000  4 Tl 3.12
8 Hg 0.0000 0.0000 0.0000  4 Tl 3.12
9 Hg 0.5000 0.0000 0.6182  3 Tl 3.13-3.14, 2 In 3.14
10 Hg 0.0000 0.5000 0.3818  3 Tl 3.13-3.14, 2 In 3.14

=====

Entry 8:
The following is a PBE calculation of a relaxed structure of CsTlInHg, from Alexandria.

* volume: 164.5 Å³/cell
* relative energy among the computed polymorphs: 0 meV/atom
* calculated total energy: -1.674 eV per atom
* space-group type: No. 160
* ΔH_f (0 K): -109 meV/atom

a = 5.0803 Å, b = 5.0803 Å, c = 7.9225 Å
α = 71.30°, β = 71.30°, γ = 60.00°
Closest atoms and distances in Å follow each position.
Element x y z (fractional)
1 Cs 0.8144 0.8144 0.5568  3 Hg 3.90, 1 In 4.08, 3 Tl 4.10
2 Tl 0.0177 0.0177 0.9469  3 In 3.17, 3 Hg 3.51
3 In 0.6298 0.6298 0.1107  3 Hg 3.02, 3 Tl 3.17
4 Hg 0.2640 0.2640 0.2080  3 In 3.02

=====

Entry 9:
The following is a PBE calculation of a relaxed structure of CsTlIn2Hg, from Alexandria.

* volume: 380.9 Å³/cell
* calculated total energy: -1.894 eV per atom
* space-group type: No. 11
* ΔH_f (0 K): -94 meV/atom

a = 4.9179 Å, b = 8.6190 Å, c = 9.1682 Å
α = 101.46°, β = 90.00°, γ = 90.00°
Closest atoms and distances in Å follow each position.
Element x y z (fractional)
1 Cs 0.7500 0.2753 0.1399  3 Hg 3.92-4.12, 3 Tl 4.00-4.01, 4 In 4.20-4.28
2 Cs 0.2500 0.7247 0.8601  3 Hg 3.92-4.12, 3 Tl 4.00-4.01, 4 In 4.20-4.28
3 Tl 0.7500 0.8312 0.2102  5 In 3.18-3.46
4 Tl 0.2500 0.1688 0.7898  5 In 3.18-3.46
5 In 0.2500 0.6571 0.3285  3 Hg 3.00-3.08, 2 Tl 3.18, 1 In 3.21
6 In 0.2500 0.0368 0.4075  1 Hg 2.88, 3 In 3.12-3.21
7 In 0.7500 0.9632 0.5925  1 Hg 2.88, 3 In 3.12-3.21
8 In 0.7500 0.3429 0.6715  3 Hg 3.00-3.08, 2 Tl 3.18, 1 In 3.21
9 Hg 0.7500 0.6221 0.5214  4 In 2.88-3.08, 2 Hg 3.21
10 Hg 0.2500 0.3779 0.4786  4 In 2.88-3.08, 2 Hg 3.21

=====

Entry 10:
The following is a PBE calculation of a relaxed structure of Cs2TlInHg6, from Alexandria.

* volume: 377.6 Å³/cell
* calculated total energy: -0.993 eV per atom
* space-group type: No. 2
* ΔH_f (0 K): -131 meV/atom

a = 8.4978 Å, b = 7.4985 Å, c = 7.7256 Å
α = 68.59°, β = 58.76°, γ = 91.34°
Closest atoms and distances in Å follow each position.
Element x y z (fractional)
1 Cs 0.7937 0.1959 0.5945  8 Hg 3.77-4.22, 1 In 4.18
2 Cs 0.2063 0.8041 0.4055  8 Hg 3.77-4.22, 1 In 4.18
3 Tl 0.5000 0.5000 0.0000  6 Hg 3.11-3.18
4 In 0.0000 0.0000 0.0000  6 Hg 2.98-3.04
5 Hg 0.3125 0.2900 0.5172  1 In 3.04, 1 Tl 3.11, 2 Hg 3.24-3.28
6 Hg 0.8314 0.6111 0.0519  1 In 3.01, 1 Tl 3.18, 3 Hg 3.22-3.28
7 Hg 0.3390 0.8400 0.8195  1 In 2.98, 1 Tl 3.14, 2 Hg 3.22-3.24
8 Hg 0.6610 0.1600 0.1805  1 In 2.98, 1 Tl 3.14, 2 Hg 3.22-3.24
9 Hg 0.1686 0.3889 0.9481  1 In 3.01, 1 Tl 3.18, 3 Hg 3.22-3.28
10 Hg 0.6875 0.7100 0.4828  1 In 3.04, 1 Tl 3.11, 2 Hg 3.24-3.28

=====

Entry 11:
The following is a PBE calculation of a relaxed structure of CsTlInHg, from Alexandria.

* volume: 140.7 Å³/cell
* relative energy among the computed polymorphs: 120 meV/atom
* calculated total energy: -1.554 eV per atom
* space-group type: No. 216
* ΔH_f (0 K): 11 meV/atom

a = 5.8387 Å, b = 5.8387 Å, c = 5.8387 Å
α = 60.00°, β = 60.00°, γ = 60.00°
Closest atoms and distances in Å follow each position.
Element x y z (fractional)
1 Cs 0.2500 0.2500 0.2500  4 Hg 3.58, 4 Tl 3.58
2 Tl 0.0000 0.0000 0.0000  4 In 3.58, 4 Cs 3.58
3 Hg 0.5000 0.5000 0.5000  4 Cs 3.58, 4 In 3.58
4 In 0.7500 0.7500 0.7500  4 Tl 3.58, 4 Hg 3.58

=====

Entry 12:
The following is a PBE calculation of a relaxed structure of CsTl2In2Hg2, from Alexandria.

* volume: 245.8 Å³/cell
* calculated total energy: -1.768 eV per atom
* space-group type: No. 166
* ΔH_f (0 K): -101 meV/atom

a = 5.2045 Å, b = 5.2045 Å, c = 10.8990 Å
α = 76.19°, β = 76.19°, γ = 60.00°
Closest atoms and distances in Å follow each position.
Element x y z (fractional)
1 Cs 0.0000 0.0000 0.0000  6 Hg 3.86
2 Tl 0.1447 0.1447 0.5659  3 In 3.23, 3 Tl 3.31, 1 Hg 3.51
3 Tl 0.8553 0.8553 0.4341  3 In 3.23, 3 Tl 3.31, 1 Hg 3.51
4 In 0.5592 0.5592 0.3223  3 Hg 3.15, 3 Tl 3.23
5 In 0.4408 0.4408 0.6777  3 Hg 3.15, 3 Tl 3.23
6 Hg 0.7436 0.7436 0.7692  3 In 3.15, 1 Tl 3.51
7 Hg 0.2564 0.2564 0.2308  3 In 3.15, 1 Tl 3.51

=====

Entry 13:
The following is a PBE calculation of a relaxed structure of CsVIn2Hg, from Alexandria.

* volume: 260.9 Å³/cell
* calculated total energy: -1.381 eV per atom
* space-group type: No. 123
* ΔH_f (0 K): 1769 meV/atom

a = 6.4524 Å, b = 6.2675 Å, c = 6.4524 Å
α = 90.00°, β = 90.00°, γ = 90.00°
Closest atoms and distances in Å follow each position.
Element x y z (fractional)
1 Cs 0.0000 0.0000 0.0000  2 Hg 3.13, 4 In 3.23
2 V 0.5000 0.5000 0.5000  8 In 4.50, 4 Hg 4.56
3 Hg 0.0000 0.5000 0.0000  2 Cs 3.13
4 In 0.0000 0.0000 0.5000  2 Cs 3.23
5 In 0.5000 0.0000 0.0000  2 Cs 3.23

=====

Entry 14:
The following is a PBE calculation of a relaxed structure of CsZnIn2Hg, from Alexandria.

* volume: 174.5 Å³/cell
* calculated total energy: -1.507 eV per atom
* space-group type: No. 123
* ΔH_f (0 K): 74 meV/atom

a = 5.5242 Å, b = 5.5242 Å, c = 5.7181 Å
α = 90.00°, β = 90.00°, γ = 90.00°
Closest atoms and distances in Å follow each position.
Element x y z (fractional)
1 Cs 0.5000 0.5000 0.5000  4 Hg 3.91, 8 In 3.98
2 Zn 0.0000 0.0000 0.0000  4 In 2.76, 2 Hg 2.86
3 Hg 0.0000 0.0000 0.5000  2 Zn 2.86
4 In 0.0000 0.5000 0.0000  2 Zn 2.76
5 In 0.5000 0.0000 0.0000  2 Zn 2.76

=====

Entry 15:
The following is a PBE calculation of a relaxed structure of CsHg2Ir, from Alexandria.

* volume: 320.3 Å³/cell
* relative energy among the computed polymorphs: 0 meV/atom
* calculated total energy: -2.276 eV per atom
* space-group type: No. 122
* ΔH_f (0 K): 303 meV/atom

a = 6.1074 Å, b = 6.1074 Å, c = 9.6131 Å
α = 71.48°, β = 71.48°, γ = 90.00°
Closest atoms and distances in Å follow each position.
Element x y z (fractional)
1 Cs 0.5000 0.5000 0.0000  8 Hg 4.02-4.05, 4 Ir 4.32
2 Cs 0.2500 0.7500 0.5000  8 Hg 4.02-4.05, 4 Ir 4.32
3 Ir 0.0000 0.0000 0.0000  4 Hg 2.63
4 Ir 0.7500 0.2500 0.5000  4 Hg 2.63
5 Hg 0.8722 0.1250 0.2500  2 Ir 2.63
6 Hg 0.8778 0.6250 0.2500  2 Ir 2.63
7 Hg 0.3750 0.1278 0.7500  2 Ir 2.63
8 Hg 0.8750 0.1222 0.7500  2 Ir 2.63

=====

Entry 16:
The following is a PBE calculation of a relaxed structure of Cs2HgIr, from Alexandria.

* volume: 565.1 Å³/cell
* relative energy among the computed polymorphs: 117 meV/atom
* calculated total energy: -1.899 eV per atom
* space-group type: No. 122
* ΔH_f (0 K): 819 meV/atom

a = 9.2650 Å, b = 9.2650 Å, c = 9.2872 Å
α = 60.08°, β = 60.08°, γ = 90.00°
Closest atoms and distances in Å follow each position.
Element x y z (fractional)
1 Cs 0.3795 0.1250 0.2500  2 Ir 2.84
2 Cs 0.3705 0.6250 0.2500  2 Ir 2.84
3 Cs 0.3750 0.6205 0.7500  2 Ir 2.84
4 Cs 0.8750 0.6295 0.7500  2 Ir 2.84
5 Ir 0.5000 0.5000 0.0000  4 Cs 2.84
6 Ir 0.2500 0.7500 0.5000  4 Cs 2.84
7 Hg 0.0000 0.0000 0.0000  12 Cs 5.40-5.47, 4 Ir 5.68, 4 Hg 5.68
8 Hg 0.7500 0.2500 0.5000  12 Cs 5.40-5.47, 4 Hg 5.68, 4 Ir 5.68

=====

Entry 17:
The following is a PBE calculation of a relaxed structure of Cs2Hg2Ir, from Alexandria.

* volume: 349.2 Å³/cell
* calculated total energy: -2.005 eV per atom
* space-group type: No. 127
* ΔH_f (0 K): 230 meV/atom

a = 7.5449 Å, b = 7.5449 Å, c = 6.1346 Å
α = 90.00°, β = 90.00°, γ = 90.00°
Closest atoms and distances in Å follow each position.
Element x y z (fractional)
1 Cs 0.1716 0.6716 0.5000  2 Hg 3.42, 1 Cs 3.66
2 Cs 0.6716 0.8284 0.5000  2 Hg 3.42, 1 Cs 3.66
3 Cs 0.8284 0.3284 0.5000  2 Hg 3.42, 1 Cs 3.66
4 Cs 0.3284 0.1716 0.5000  2 Hg 3.42, 1 Cs 3.66
5 Ir 0.0000 0.0000 0.0000  4 Hg 2.75
6 Ir 0.5000 0.5000 0.0000  4 Hg 2.75
7 Hg 0.3140 0.8140 0.0000  2 Ir 2.75
8 Hg 0.8140 0.6860 0.0000  2 Ir 2.75
9 Hg 0.6860 0.1860 0.0000  2 Ir 2.75
10 Hg 0.1860 0.3140 0.0000  2 Ir 2.75

=====

Entry 18:
The following is a PBE calculation of a relaxed structure of Cs2HgIr, from Alexandria.

* volume: 157.3 Å³/cell
* relative energy among the computed polymorphs: 0 meV/atom
* calculated total energy: -2.016 eV per atom
* space-group type: No. 225
* ΔH_f (0 K): 702 meV/atom

a = 6.0597 Å, b = 6.0597 Å, c = 6.0597 Å
α = 60.00°, β = 60.00°, γ = 60.00°
Closest atoms and distances in Å follow each position.
Element x y z (fractional)
1 Cs 0.2500 0.2500 0.2500  4 Hg 3.71, 4 Ir 3.71
2 Cs 0.7500 0.7500 0.7500  4 Hg 3.71, 4 Ir 3.71
3 Ir 0.0000 0.0000 0.0000  8 Cs 3.71
4 Hg 0.5000 0.5000 0.5000  8 Cs 3.71

=====

Entry 19:
The following is a PBE calculation of a relaxed structure of CsHgIr3, from Alexandria.

* volume: 126.4 Å³/cell
* calculated total energy: -2.550 eV per atom
* space-group type: No. 221
* ΔH_f (0 K): 2998 meV/atom

a = 5.0180 Å, b = 5.0180 Å, c = 5.0180 Å
α = 90.00°, β = 90.00°, γ = 90.00°
Closest atoms and distances in Å follow each position.
Element x y z (fractional)
1 Cs 0.0000 0.0000 0.0000  6 Ir 2.51
2 Ir 0.0000 0.5000 0.0000  2 Cs 2.51
3 Ir 0.0000 0.0000 0.5000  2 Cs 2.51
4 Ir 0.5000 0.0000 0.0000  2 Cs 2.51
5 Hg 0.5000 0.5000 0.5000  12 Ir 3.55

=====

Entry 20:
The following is a PBE calculation of a relaxed structure of CsHg2Ir, from Alexandria.

* volume: 110.2 Å³/cell
* relative energy among the computed polymorphs: 487 meV/atom
* calculated total energy: -1.789 eV per atom
* space-group type: No. 225
* ΔH_f (0 K): 791 meV/atom

a = 5.3814 Å, b = 5.3814 Å, c = 5.3814 Å
α = 60.00°, β = 60.00°, γ = 60.00°
Closest atoms and distances in Å follow each position.
Element x y z (fractional)
1 Cs 0.0000 0.0000 0.0000  8 Hg 3.30
2 Ir 0.5000 0.5000 0.5000  8 Hg 3.30
3 Hg 0.2500 0.2500 0.2500  4 Ir 3.30, 4 Cs 3.30
4 Hg 0.7500 0.7500 0.7500  4 Ir 3.30, 4 Cs 3.30